1.
Material: Ni2PW
Method: DFT, PBE
State: optimized geometry

It has space group I4/mmm (No. 139), with a = 3.5403 Å, b = 3.5403 Å, c = 7.9203 Å, α = 90.00°, β = 90.00° and γ = 90.00°. The distinct sites, in fractional coordinates, are Ni at (0.0000, 0.5000, 0.2500), P at (0.0000, 0.0000, 0.0000) and W at (0.0000, 0.0000, 0.5000).

As for the energy of formation: 0.05 eV per atom. As for the energy: -7.427 eV per atom. The calculation puts the volume at 12.41 Å³ per atom.


2.
Material: Ni4P16W
Method: DFT, PBE
State: optimized geometry

It has space group C2/c (No. 15), with a = 19.6943 Å, b = 5.7062 Å, c = 11.1558 Å, α = 90.00°, β = 100.90° and γ = 90.00°. The distinct sites, in fractional coordinates, are Ni at (0.1062, 0.0940, 0.0745), Ni at (0.2494, 0.4447, 0.6288), P at (0.0040, 0.2632, 0.1073), P at (0.0615, 0.0525, 0.8681), P at (0.0621, 0.2815, 0.5804), P at (0.1208, 0.4950, 0.3393), P at (0.1410, 0.1265, 0.2808), P at (0.1417, 0.4606, 0.0429), P at (0.2131, 0.0657, 0.5540), P at (0.2213, 0.3374, 0.8124) and W at (0.0000, 0.3958, 0.7500).

As for the energy of formation: -0.28 eV per atom. As for the energy: -6.115 eV per atom. The calculation puts the volume at 14.66 Å³ per atom.


3.
Material: NiP2W
Method: DFT, PBE
State: optimized geometry

It has space group P6_3/mmc (No. 194), with a = 3.3477 Å, b = 3.3477 Å, c = 11.2519 Å, α = 90.00°, β = 90.00° and γ = 120.00°. The distinct sites, in fractional coordinates, are Ni at (0.0000, 0.0000, 0.0000), P at (0.3333, 0.6667, 0.1127) and W at (0.0000, 0.0000, 0.2500).

As for the energy of formation: -0.47 eV per atom. As for the energy: -7.858 eV per atom. The calculation puts the volume at 13.65 Å³ per atom.